Record 1
The following is a DFT calculation (GGA-PBE) of Na2Sn4Pd5 after structural relaxation.

a b c (Å): 5.8492 5.8142 8.8815
angles (deg): 80.47 70.77 59.80
Last column: nearest neighbours and their distance in Å.
Element x y z (fractional)
Sn: 0.5342 0.6751 0.2565  5 Pd 2.66-2.75
Pd: 0.7500 0.5000 0.5000  4 Sn 2.66, 2 Pd 2.92
Sn: 0.2093 0.3249 0.2565  5 Pd 2.66-2.75
Pd: 0.5000 0.0000 0.0000  4 Sn 2.70, 4 Pd 2.91
Sn: 0.4658 0.3249 0.7435  5 Pd 2.66-2.75
Sn: 0.7907 0.6751 0.7435  5 Pd 2.66-2.75
Na: 0.8969 0.0000 0.2062  6 Sn 3.38-3.42, 6 Pd 3.38-3.40, 1 Na 3.46
Pd: 0.2500 0.5000 0.5000  4 Sn 2.66, 2 Pd 2.92
Pd: 0.0000 0.5000 0.0000  4 Sn 2.75, 4 Pd 2.91-2.92
Na: 0.1031 0.0000 0.7938  6 Sn 3.38-3.42, 6 Pd 3.38-3.40, 1 Na 3.46
Pd: 0.5000 0.5000 0.0000  4 Sn 2.75, 4 Pd 2.91-2.92

Computed properties:
Calculated density in g/cm3: 7.093
Space-group type: Fmmm, No. 69
Total DFT energy (no corrections) in eV per cell: -49.2



Record 2
The following is a DFT calculation (GGA-PBE) of Ac2Nd3Sm8 after structural relaxation.

a b c (Å): 6.3410 9.0193 9.0193
angles (deg): 83.40 72.90 72.90
Last column: nearest neighbours and their distance in Å.
Element x y z (fractional)
Sm: 0.7752 0.4319 0.4319  4 Sm 3.24-3.46, 2 Ac 3.41
Nd: 0.5000 0.0000 0.0000  2 Sm 3.22
Sm: 0.0383 0.8466 0.8466  3 Nd 3.22-3.53, 1 Sm 3.46, 1 Ac 3.55
Sm: 0.6813 0.0834 0.5739  4 Sm 3.41-3.75, 2 Ac 3.55-3.71, 2 Nd 3.62-3.73
Sm: 0.3187 0.9166 0.4261  4 Sm 3.41-3.75, 2 Ac 3.55-3.71, 2 Nd 3.62-3.73
Sm: 0.2248 0.5681 0.5681  4 Sm 3.24-3.46, 2 Ac 3.41
Ac: 0.6437 0.7029 0.7029  9 Sm 3.41-3.76, 1 Nd 3.74
Sm: 0.3187 0.4261 0.9166  4 Sm 3.41-3.75, 2 Ac 3.55-3.71, 2 Nd 3.62-3.73
Sm: 0.9617 0.1534 0.1534  3 Nd 3.22-3.53, 1 Sm 3.46, 1 Ac 3.55
Ac: 0.3563 0.2971 0.2971  9 Sm 3.41-3.76, 1 Nd 3.74
Sm: 0.6813 0.5739 0.0834  4 Sm 3.41-3.75, 2 Ac 3.55-3.71, 2 Nd 3.62-3.73
Nd: 0.0000 0.7570 0.2430  6 Sm 3.53-3.66
Nd: 0.0000 0.2430 0.7570  6 Sm 3.53-3.66

Computed properties:
Calculated density in g/cm3: 7.367
Space-group type: C2/m, No. 12
Total DFT energy (no corrections) in eV per cell: -58.0



Record 3
The following is a DFT calculation (GGA-PBE) of Dy3Ga2Ru after structural relaxation.

a b c (Å): 4.2891 11.0121 11.9181
angles (deg): 90.00 90.00 90.00
Last column: nearest neighbours and their distance in Å.
Element x y z (fractional)
Ru: 0.7500 0.8699 0.8819  3 Ga 2.61-2.62, 3 Dy 2.88-2.91
Dy: 0.7500 0.2941 0.7671  2 Ru 2.91, 4 Ga 3.06-3.12
Dy: 0.2500 0.0554 0.8822  3 Ru 2.93-2.96, 5 Ga 3.06-3.15
Dy: 0.7500 0.5554 0.6178  3 Ru 2.93-2.96, 5 Ga 3.06-3.15
Ga: 0.2500 0.0037 0.3037  1 Ru 2.61
Dy: 0.2500 0.1184 0.5518  1 Ru 2.88, 5 Ga 2.99-3.22
Dy: 0.2500 0.7941 0.7329  2 Ru 2.91, 4 Ga 3.06-3.12
Ga: 0.2500 0.8017 0.9916  2 Ru 2.62
Ru: 0.7500 0.6301 0.3819  3 Ga 2.61-2.62, 3 Dy 2.88-2.91
Ga: 0.7500 0.1983 0.0084  2 Ru 2.62
Ga: 0.7500 0.9963 0.6963  1 Ru 2.61
Dy: 0.7500 0.9446 0.1178  3 Ru 2.93-2.96, 5 Ga 3.06-3.15
Dy: 0.7500 0.8816 0.4482  1 Ru 2.88, 5 Ga 2.99-3.22
Dy: 0.2500 0.3816 0.0518  1 Ru 2.88, 5 Ga 2.99-3.22
Dy: 0.2500 0.7059 0.2329  2 Ru 2.91, 4 Ga 3.06-3.12
Ru: 0.2500 0.3699 0.6181  3 Ga 2.61-2.62, 3 Dy 2.88-2.91
Ru: 0.2500 0.1301 0.1181  3 Ga 2.61-2.62, 3 Dy 2.88-2.91
Dy: 0.7500 0.6184 0.9482  1 Ru 2.88, 5 Ga 2.99-3.22
Ga: 0.7500 0.5037 0.1963  1 Ru 2.61
Ga: 0.2500 0.6983 0.4916  2 Ru 2.62
Dy: 0.7500 0.2059 0.2671  2 Ru 2.91, 4 Ga 3.06-3.12
Ga: 0.7500 0.3017 0.5084  2 Ru 2.62
Ga: 0.2500 0.4963 0.8037  1 Ru 2.61
Dy: 0.2500 0.4446 0.3822  3 Ru 2.93-2.96, 5 Ga 3.06-3.15

Computed properties:
Calculated density in g/cm3: 8.590
Space-group type: Pnma, No. 62
Total DFT energy (no corrections) in eV per cell: -129.3